(1)
Here is a geometry-optimized Pm6TmIn6 structure from Alexandria. Energies are from PBE-GGA.

Output
calculated formation energy: -318 meV/atom
space group: P6/mmm
density: 7.42 Mg/m³
size of the total moment: 1.511 Bohr magnetons per cell

Cell: 6.3719 6.3719 10.9944 Å, 90.00 90.00 120.00°
Site moments in Bohr magnetons follow the coordinates.
Atoms (fractional coordinates):
In 0.0000 0.5000 0.7533  0.00
In 0.5000 0.0000 0.2467  0.00
In 0.5000 0.5000 0.7533  0.00
In 0.5000 0.5000 0.2467  0.00
In 0.5000 0.0000 0.7533  0.00
In 0.0000 0.5000 0.2467  0.00
Pm 0.0000 0.0000 0.3308  0.20
Pm 0.3333 0.6667 0.5000  0.09
Pm 0.6667 0.3333 0.5000  0.09
Pm 0.0000 0.0000 0.6692  0.20
Pm 0.6667 0.3333 0.0000  0.02
Pm 0.3333 0.6667 0.0000  0.02
Tm 0.0000 0.0000 0.0000  0.07

***

(2)
Here is a geometry-optimized Ti3SiOs structure from Alexandria. Energies are from PBE-GGA.

Output
excess energy over the best structure of this formula in the dataset: 87 meV per atom
space group: Pm-3m
density: 6.65 Mg/m³
size of the total moment: 0.000 Bohr magnetons per cell
formation energy (no corrections): 0.619 eV/atom

Cell: 4.4880 4.4880 4.4880 Å, 90.00 90.00 90.00°
Atoms (fractional coordinates):
Ti 0.5000 0.0000 0.0000
Ti 0.0000 0.0000 0.5000
Ti 0.0000 0.5000 0.0000
Os 0.5000 0.5000 0.5000
Si 0.0000 0.0000 0.0000